Entry 1:
Entry from the Alexandria database: Ce6As2Se3I after structural relaxation (GGA-PBE).

Summary:
Electronic total energy: -6.26 eV per atom
Uncorrected formation energy: -1.5225 eV/atom
SG: C2/m, No. 12

Cell and atoms, written as extended XYZ:
```
12
Lattice="9.258 -2.124 0.000 9.258 2.124 0.000 -1.886 0.000 8.337" Properties=species:S:1:pos:R:3 pbc="T T T"
Ce -0.450 0.000 2.270
Ce 4.302 0.000 7.570
Ce 5.360 0.000 3.501
Ce 11.269 0.000 4.836
Ce 12.328 0.000 0.768
Ce 17.080 0.000 6.067
As 2.475 0.000 2.779
As 14.155 0.000 5.558
Se 1.443 0.000 6.937
Se 8.315 0.000 4.169
Se 15.186 0.000 1.401
I 9.258 0.000 0.000
```

Entry 2:
Entry from the Alexandria database: HfSc5Tl3 after structural relaxation (GGA-PBE).

Summary:
Electronic total energy: -5.63 eV per atom
Formation energy from the elements: -0.216 eV per atom
SG: P6_3/mcm, No. 193

Cell and atoms, written as extended XYZ:
```
18
Lattice="8.767 0.000 0.000 -4.383 7.592 0.000 0.000 0.000 6.223" Properties=species:S:1:pos:R:3 pbc="T T T"
Hf 0.000 0.000 0.000
Hf 0.000 0.000 3.111
Sc -1.404 2.432 1.556
Sc -2.979 5.160 4.667
Sc 2.809 0.000 1.556
Sc 1.404 2.432 4.667
Sc 0.000 5.062 0.000
Sc 0.000 5.062 3.111
Sc 4.383 2.531 0.000
Sc 4.383 2.531 3.111
Sc 5.958 0.000 4.667
Sc 2.979 5.160 1.556
Tl -1.508 2.612 4.667
Tl -2.875 4.980 1.556
Tl 3.016 0.000 4.667
Tl 1.508 2.612 1.556
Tl 5.751 0.000 1.556
Tl 2.875 4.980 4.667
```

Entry 3:
Entry from the Alexandria database: TlHg2Ir after structural relaxation (GGA-PBE).

Summary:
Electronic total energy: -2.36 eV per atom
Formation energy from the elements: 0.603 eV per atom
SG: F-43m, No. 216

Cell and atoms, written as extended XYZ:
```
4
Lattice="0.000 3.473 3.473 3.473 0.000 3.473 3.473 3.473 0.000" Properties=species:S:1:pos:R:3 pbc="T T T"
Tl 0.000 0.000 0.000
Hg 1.736 1.736 1.736
Hg 3.473 3.473 3.473
Ir 5.209 5.209 5.209
```

Entry 4:
Entry from the Alexandria database: CaZrS2N after structural relaxation (GGA-PBE).

Summary:
Electronic total energy: -5.08 eV per atom
Uncorrected formation energy: 0.3460 eV/atom
SG: P4/mmm, No. 123

Cell and atoms, written as extended XYZ:
```
5
Lattice="5.062 0.000 0.000 0.000 5.062 0.000 0.000 0.000 4.188" Properties=species:S:1:pos:R:3 pbc="T T T"
Ca 0.000 0.000 0.000
Zr 2.531 2.531 2.094
S 0.000 2.531 0.000
S 2.531 0.000 0.000
N 0.000 0.000 2.094
```

Entry 5:
Entry from the Alexandria database: CaNdO2 after structural relaxation (GGA-PBE).

Summary:
Electronic total energy: -6.82 eV per atom
Uncorrected formation energy: -2.6440 eV/atom
SG: R3m, No. 160

Cell and atoms, written as extended XYZ:
```
4
Lattice="1.699 0.981 6.137 -1.699 0.981 6.137 0.000 -1.962 6.137" Properties=species:S:1:pos:R:3 pbc="T T T"
Ca 0.000 0.000 0.000
Nd 0.000 0.000 15.238
O 0.000 0.000 4.572
O 0.000 0.000 7.522
```

Entry 6:
Entry from the Alexandria database: K2AlRh after structural relaxation (GGA-PBE).

Summary:
Electronic total energy: -2.66 eV per atom
Formation energy from the elements: 0.659 eV per atom
SG: Cmmm, No. 65

Cell and atoms, written as extended XYZ:
```
4
Lattice="2.111 -2.170 0.000 2.111 2.170 0.000 0.000 0.000 11.079" Properties=species:S:1:pos:R:3 pbc="T T T"
K 0.000 0.000 2.472
K 0.000 0.000 8.607
Al 2.111 0.000 5.539
Rh 2.111 0.000 0.000
```